Computed, not measured: a geometry-optimized Cr3ReB structure at the PBEsol level of DFT.

It has space group Pm-3m (No. 221), with a = 4.536 Å, b = 4.536 Å, c = 4.536 Å, α = 90.00°, β = 90.00° and γ = 90.00°. The asymmetric unit holds Cr at (0.000, 0.000, 0.500), Re at (0.000, 0.000, 0.000) and B at (0.500, 0.500, 0.500).

The value obtained for the formation energy is 54.76 kcal/mol of atoms. The calculation puts the spin magnetization at 7.8 μB/f.u. The density of states at the Fermi level comes out at 3.623 states/eV/f.u.



Computed, not measured: a geometry-optimized LaZrTl2 structure at the PBEsol level of DFT.

It has space group Pm (No. 6), with a = 3.249 Å, b = 5.603 Å, c = 5.603 Å, α = 90.00°, β = 90.00° and γ = 90.00°. The asymmetric unit holds La at (0.000, 0.000, 0.000), Zr at (0.983, 0.500, 0.501), Tl at (0.496, 0.000, 0.500) and Tl at (0.496, 0.500, 0.001).

The value obtained for the formation energy is -3.58 kcal/mol of atoms. The calculation puts the spin magnetization at 0.0 μB/f.u. The density of states at the Fermi level comes out at 3.493 states/eV/f.u.



Computed, not measured: a geometry-optimized Ba2Ni structure at the PBEsol level of DFT.

It has space group P-3m1 (No. 164), with a = 4.3958 Å, b = 4.3958 Å, c = 7.1770 Å, α = 90.00°, β = 90.00° and γ = 120.00°. The asymmetric unit holds Ba at (0.3333, 0.6667, 0.2698) and Ni at (0.0000, 0.0000, 0.5000).

The value obtained for the formation energy is 2.09 kcal/mol of atoms. The calculation puts the spin magnetization at 0.0 μB/f.u. The density of states at the Fermi level comes out at 1.222 states/eV/f.u.



Computed, not measured: a geometry-optimized MgBeS2 structure at the PBEsol level of DFT.

It has space group R-3m (No. 166, hexagonal axes), with a = 3.8986 Å, b = 3.8986 Å, c = 19.0609 Å, α = 90.00°, β = 90.00° and γ = 120.00°. The asymmetric unit holds Mg at (0.0000, 0.0000, 0.0000), Be at (0.0000, 0.0000, 0.5000) and S at (0.0000, 0.0000, 0.4014).

The calculation puts the spin magnetization at 0.0 μB/f.u. The density of states at the Fermi level comes out at 0.000 states/eV/f.u. Its raw formation energy is -0.8950 eV/atom. The offset from the most stable computed form comes out at 308.3 meV/atom.



Computed, not measured: a geometry-optimized BaScSi2 structure at the PBEsol level of DFT.

It has space group R-3m (No. 166, hexagonal axes), with a = 3.5980 Å, b = 3.5980 Å, c = 26.2873 Å, α = 90.00°, β = 90.00° and γ = 120.00°. The asymmetric unit holds Ba at (0.0000, 0.0000, 0.0000), Sc at (0.0000, 0.0000, 0.5000) and Si at (0.0000, 0.0000, 0.2377).

The calculation puts the spin magnetization at 0.0 μB/f.u. The density of states at the Fermi level comes out at 3.126 states/eV/f.u. Its raw formation energy is -0.0367 eV/atom. The offset from the most stable computed form comes out at 431.4 meV/atom.



Computed, not measured: a geometry-optimized TaAlIn2 structure at the PBEsol level of DFT.

It has space group F-43m (No. 216), with a = 6.823 Å, b = 6.823 Å, c = 6.823 Å, α = 90.00°, β = 90.00° and γ = 90.00°. The asymmetric unit holds Ta at (0.000, 0.000, 0.000), Al at (0.250, 0.250, 0.250), In at (0.000, 0.000, 0.500) and In at (0.250, 0.250, 0.750).

The value obtained for the formation energy is 13.17 kcal/mol of atoms. The calculation puts the spin magnetization at 0.8 μB/f.u. The density of states at the Fermi level comes out at 3.838 states/eV/f.u.



Computed, not measured: a geometry-optimized MgTl2Sb structure at the PBEsol level of DFT.

It has space group P4/mmm (No. 123), with a = 4.457 Å, b = 4.457 Å, c = 5.358 Å, α = 90.00°, β = 90.00° and γ = 90.00°. The asymmetric unit holds Mg at (0.000, 0.000, 0.000), Tl at (0.000, 0.500, 0.500) and Sb at (0.500, 0.500, 0.000).

The calculation puts the spin magnetization at 0.0 μB/f.u. The density of states at the Fermi level comes out at 1.333 states/eV/f.u. Its raw formation energy is -0.0731 eV/atom. The offset from the most stable computed form comes out at 0.0 meV/atom.



Computed, not measured: a geometry-optimized MnTlIn2I structure at the PBEsol level of DFT.

It has space group P4/mmm (No. 123), with a = 5.720 Å, b = 5.720 Å, c = 5.231 Å, α = 90.00°, β = 90.00° and γ = 90.00°. The asymmetric unit holds Mn at (0.000, 0.000, 0.000), Tl at (0.000, 0.000, 0.500), In at (0.000, 0.500, 0.500) and I at (0.500, 0.500, 0.000).

The calculation puts the spin magnetization at 4.5 μB/f.u. The density of states at the Fermi level comes out at 2.778 states/eV/f.u. Its raw formation energy is 0.5732 eV/atom.



Computed, not measured: a geometry-optimized Rb2GePt structure at the PBEsol level of DFT.

It has space group I-42d (No. 122), with a = 12.718 Å, b = 12.718 Å, c = 4.654 Å, α = 90.00°, β = 90.00° and γ = 90.00°. The asymmetric unit holds Rb at (0.048, 0.250, 0.125), Ge at (0.000, 0.000, 0.500) and Pt at (0.000, 0.000, 0.000).

The value obtained for the formation energy is -2.79 kcal/mol of atoms. The calculation puts the spin magnetization at 0.0 μB/f.u. The density of states at the Fermi level comes out at 1.637 states/eV/f.u.



Computed, not measured: a geometry-optimized LiBeAs4 structure at the PBEsol level of DFT.

It has space group F-43m (No. 216), with a = 7.730 Å, b = 7.730 Å, c = 7.730 Å, α = 90.00°, β = 90.00° and γ = 90.00°. The asymmetric unit holds Li at (0.000, 0.000, 0.000), Be at (0.250, 0.250, 0.750) and As at (0.123, 0.123, 0.377).

The value obtained for the formation energy is 9.81 kcal/mol of atoms. The calculation puts the spin magnetization at 0.0 μB/f.u. The density of states at the Fermi level comes out at 1.830 states/eV/f.u.



Computed, not measured: a geometry-optimized Y2TeF structure at the PBEsol level of DFT.

It has space group I-42d (No. 122), with a = 7.258 Å, b = 7.258 Å, c = 6.836 Å, α = 90.00°, β = 90.00° and γ = 90.00°. The asymmetric unit holds Y at (0.157, 0.250, 0.125), Te at (0.000, 0.000, 0.500) and F at (0.000, 0.000, 0.000).

The calculation puts the spin magnetization at 0.6 μB/f.u. The density of states at the Fermi level comes out at 3.925 states/eV/f.u. Its raw formation energy is -1.7802 eV/atom.



Computed, not measured: a geometry-optimized LiHfNb3 structure at the PBEsol level of DFT.

It has space group Pm-3m (No. 221), with a = 4.462 Å, b = 4.462 Å, c = 4.462 Å, α = 90.00°, β = 90.00° and γ = 90.00°. The asymmetric unit holds Li at (0.000, 0.000, 0.000), Hf at (0.500, 0.500, 0.500) and Nb at (0.000, 0.000, 0.500).

The value obtained for the formation energy is 22.74 kcal/mol of atoms. The calculation puts the spin magnetization at 0.0 μB/f.u. The density of states at the Fermi level comes out at 6.026 states/eV/f.u. The offset from the most stable computed form comes out at 0.0 meV/atom.



Number 12 is which compound?
LiHfNb3



density of states at the Fermi level of number 7 (MgTl2Sb)?
1.333 states/eV/f.u.